[1]
Tb2Se3: optimized geometry, PBE.

Summary:
Space group = No. 122
Total energy = -0.42624 Ry per atom
Mass density = 7408 kg/m³
Total magnetic moment = 0.0 μB/f.u.
Energy relative to the elements, uncorrected = -1856 meV per atom

a = 14.4614 Å, b = 14.4614 Å, c = 14.4614 Å
α = 144.90°, β = 144.90°, γ = 50.48°
Last column: nearest neighbours and their distance in Å.
Sites, in units of the cell vectors:
Tb: 0.0486 0.4234 0.8935  7 Se 2.87-3.13
Tb: 0.1660 0.1660 0.0000  8 Se 2.90-3.13
Tb: 0.1734 0.2986 0.3935  7 Se 2.87-3.13
Tb: 0.2201 0.8266 0.1251  7 Se 2.87-3.13
Tb: 0.2575 0.1250 0.6325  8 Se 2.90-3.21
Tb: 0.3750 0.7425 0.8675  8 Se 2.90-3.21
Tb: 0.4925 0.6250 0.3675  8 Se 2.90-3.21
Tb: 0.5299 0.1551 0.1065  7 Se 2.87-3.13
Tb: 0.5766 0.4701 0.6251  7 Se 2.87-3.13
Tb: 0.5840 0.0840 0.5000  8 Se 2.90-3.13
Tb: 0.7014 0.0949 0.8749  7 Se 2.87-3.13
Tb: 0.8340 0.8340 0.0000  8 Se 2.90-3.13
Tb: 0.8449 0.9514 0.3749  7 Se 2.87-3.13
Tb: 0.8750 0.5075 0.1325  8 Se 2.90-3.21
Tb: 0.9051 0.7799 0.6065  7 Se 2.87-3.13
Tb: 0.9160 0.4160 0.5000  8 Se 2.90-3.13
Se: 0.0017 0.1119 0.2458  5 Tb 2.90-3.21
Se: 0.0740 0.8268 0.6106  5 Tb 2.87-3.13
Se: 0.1732 0.7839 0.2472  5 Tb 2.87-3.13
Se: 0.1874 0.0908 0.7447  5 Tb 2.88-3.13
Se: 0.1927 0.5961 0.7553  5 Tb 2.88-3.13
Se: 0.2134 0.4661 0.8894  5 Tb 2.87-3.13
Se: 0.2161 0.4634 0.3894  5 Tb 2.87-3.13
Se: 0.2441 0.9983 0.1102  5 Tb 2.90-3.21
Se: 0.3461 0.4427 0.2553  5 Tb 2.88-3.13
Se: 0.4039 0.1592 0.5966  5 Tb 2.88-3.13
Se: 0.5059 0.1161 0.2542  5 Tb 2.90-3.21
Se: 0.5339 0.4232 0.7472  5 Tb 2.87-3.13
Se: 0.5366 0.9260 0.7528  5 Tb 2.87-3.13
Se: 0.5573 0.8126 0.9034  5 Tb 2.88-3.13
Se: 0.5626 0.8073 0.4034  5 Tb 2.88-3.13
Se: 0.5768 0.3240 0.1106  5 Tb 2.87-3.13
Se: 0.6760 0.7866 0.2528  5 Tb 2.87-3.13
Se: 0.7483 0.4941 0.6102  5 Tb 2.90-3.21
Se: 0.8408 0.4374 0.2447  5 Tb 2.88-3.13
Se: 0.8619 0.2517 0.7458  5 Tb 2.90-3.21
Se: 0.8661 0.7559 0.7542  5 Tb 2.90-3.21
Se: 0.8839 0.1381 0.3898  5 Tb 2.90-3.21
Se: 0.8881 0.1339 0.8898  5 Tb 2.90-3.21
Se: 0.9092 0.6539 0.0966  5 Tb 2.88-3.13

[2]
TbSe: optimized geometry, PBE.

Summary:
Space group = No. 186
Total energy = -0.39316 Ry per atom
Mass density = 6159 kg/m³
Total magnetic moment = 0.9 μB/f.u.
Energy relative to the elements, uncorrected = -1292 meV per atom

a = 4.1771 Å, b = 4.1771 Å, c = 8.4893 Å
α = 90.00°, β = 90.00°, γ = 120.00°
Last column: nearest neighbours and their distance in Å.
Sites, in units of the cell vectors:
Tb: 0.3333 0.6667 0.0000  4 Se 2.78-2.82
Tb: 0.6667 0.3333 0.5000  4 Se 2.78-2.82
Se: 0.3333 0.6667 0.3274  4 Tb 2.78-2.82
Se: 0.6667 0.3333 0.8274  4 Tb 2.78-2.82

[3]
TbTcSe: optimized geometry, PBE.

Summary:
Space group = No. 129
Total energy = -0.50103 Ry per atom
Mass density = 8800 kg/m³
Total magnetic moment = 0.0 μB/f.u.
Energy relative to the elements, uncorrected = -657 meV per atom

a = 3.6984 Å, b = 3.6984 Å, c = 9.2672 Å
α = 90.00°, β = 90.00°, γ = 90.00°
Last column: nearest neighbours and their distance in Å.
Sites, in units of the cell vectors:
Tb: 0.2500 0.2500 0.2337  4 Se 2.77, 1 Tc 2.99
Tb: 0.7500 0.7500 0.7663  4 Se 2.77, 1 Tc 2.99
Tc: 0.2500 0.2500 0.5559  4 Tc 2.81, 1 Se 2.87, 1 Tb 2.99
Tc: 0.7500 0.7500 0.4441  4 Tc 2.81, 1 Se 2.87, 1 Tb 2.99
Se: 0.2500 0.2500 0.8660  4 Tb 2.77, 1 Tc 2.87
Se: 0.7500 0.7500 0.1340  4 Tb 2.77, 1 Tc 2.87

[4]
Tb3TeSe2: optimized geometry, PBE.

Summary:
Space group = No. 63
Energy relative to the lowest polymorph listed for this composition = 0.2443 eV per atom
Total energy = -0.39322 Ry per atom
Mass density = 7656 kg/m³
Total magnetic moment = 0.0 μB/f.u.
Energy relative to the elements, uncorrected = -1350 meV per atom

a = 7.4002 Å, b = 7.4002 Å, c = 11.0416 Å
α = 90.00°, β = 90.00°, γ = 146.85°
Last column: nearest neighbours and their distance in Å.
Sites, in units of the cell vectors:
Tb: 0.0841 0.9159 0.7500  4 Se 2.76-3.01
Tb: 0.3505 0.6495 0.5446  3 Se 2.74-3.03
Tb: 0.3505 0.6495 0.9554  3 Se 2.74-3.03
Tb: 0.6495 0.3505 0.0446  3 Se 2.74-3.03
Tb: 0.6495 0.3505 0.4554  3 Se 2.74-3.03
Tb: 0.9159 0.0841 0.2500  4 Se 2.76-3.01
Te: 0.2550 0.7450 0.2500  6 Tb 3.11-3.44
Te: 0.7450 0.2550 0.7500  6 Tb 3.11-3.44
Se: 0.0000 0.0000 0.0000  6 Tb 3.01-3.03
Se: 0.0000 0.0000 0.5000  6 Tb 3.01-3.03
Se: 0.4593 0.5407 0.7500  4 Tb 2.74-2.76
Se: 0.5407 0.4593 0.2500  4 Tb 2.74-2.76

Q: total magnetic moment of number 4 (Tb3TeSe2)?
A: 0.0 μB/f.u.

Q: Look up the total magnetic moment of the third one.
A: 0.0 μB/f.u.